(1)
TaCl2 | GGA-PBE | relaxed

Calculated values
mass density = 6.93 g/cm³
DOS at the Fermi energy = 1.6 states/eV/f.u.
total DFT energy (no corrections) = -17.08 eV/f.u.
formation energy without anion corrections = -512.1 meV/atom
magnetic moment = 0.510 μB/f.u.

a = 6.217 Å, b = 6.314 Å, c = 3.074 Å
α = 90.00°, β = 90.00°, γ = 90.00°
Space group Pnnm (No. 58)
Symmetry-distinct sites (fractional):
Ta  0.000  0.000  0.000 x2
Cl  0.233  0.322  0.000 x4

(2)
ZrPa6Nb2 | GGA-PBE | relaxed

Calculated values
mass density = 13.46 g/cm³
ΔH_f (0 K) = 0.07 eV per atom
DOS at the Fermi energy = 15.7 states/eV/f.u.
total DFT energy (no corrections) = -85.03 eV/f.u.
magnetic moment = 0.000 μB/f.u.

a = 15.253 Å, b = 8.898 Å, c = 3.046 Å
α = 90.00°, β = 96.92°, γ = 90.00°
Space group C2/m (No. 12)
Symmetry-distinct sites (fractional):
Zr  0.000  0.000  0.000 x2
Pa  0.000  0.334  0.500 x4
Pa  0.170  0.169  0.636 x8
Nb  0.164  0.500  0.983 x4

(3)
Dy5Er8Sc | GGA-PBE | relaxed

Calculated values
mass density = 8.25 g/cm³
ΔH_f (0 K) = 0.26 eV per atom
DOS at the Fermi energy = 20.3 states/eV/f.u.
total DFT energy (no corrections) = -62.17 eV/f.u.
magnetic moment = 0.005 μB/f.u.

a = 9.442 Å, b = 9.442 Å, c = 9.908 Å
α = 90.00°, β = 90.00°, γ = 90.00°
Space group I-4 (No. 82)
Symmetry-distinct sites (fractional):
Dy  0.000  0.000  0.000 x2
Dy  0.108  0.789  0.422 x8
Er  0.069  0.674  0.091 x8
Er  0.088  0.820  0.753 x8
Sc  0.000  0.500  0.750 x2